Record 1
A plane-wave DFT calculation with PBE was carried out for a relaxed structure of MgZrCdCu.

Results
Energy relative to the elements, eV/f.u.: -0.49
Crystal system: tetragonal

Geometry as POSCAR:
```
MgZrCdCu
1.0
3.121 0.000 0.000
0.000 3.121 0.000
0.000 0.000 7.869
Mg Zr Cd Cu
1 1 1 1
Direct
0.500 0.500 0.358 Mg
0.500 0.500 0.787 Zr
0.000 0.000 0.076 Cd
0.000 0.000 0.564 Cu
```



Record 2
A plane-wave DFT calculation with PBE was carried out for a relaxed structure of TbNd6Dy2Ho3.

Results
Energy relative to the elements, eV/f.u.: 0.14
Crystal system: monoclinic

Geometry as POSCAR:
```
TbNd6Dy2Ho3
1.0
6.268 -0.001 0.010
-3.133 5.429 0.010
-1.060 -1.836 11.658
Tb Nd Dy Ho
1 6 2 3
Direct
0.000 0.000 0.000 Tb
0.916 0.583 0.749 Nd
0.750 0.750 0.251 Nd
0.084 0.417 0.251 Nd
0.583 0.916 0.749 Nd
0.250 0.250 0.749 Nd
0.417 0.084 0.251 Nd
0.333 0.667 0.000 Dy
0.667 0.333 0.000 Dy
0.167 0.833 0.500 Ho
0.833 0.167 0.500 Ho
0.500 0.500 0.500 Ho
```



Record 3
A plane-wave DFT calculation with PBE was carried out for a relaxed structure of Ba5Cd2Pd2.

Results
Energy relative to the elements, eV/f.u.: -3.20
Crystal system: orthorhombic

Geometry as POSCAR:
```
Ba5Cd2Pd2
1.0
8.216 0.000 2.982
0.000 8.760 0.000
1.024 0.000 9.987
Ba Cd Pd
10 4 4
Direct
0.000 0.000 0.000 Ba
0.500 0.500 0.000 Ba
0.454 0.170 0.750 Ba
0.796 0.830 0.750 Ba
0.296 0.670 0.750 Ba
0.954 0.330 0.750 Ba
0.546 0.830 0.250 Ba
0.204 0.170 0.250 Ba
0.704 0.330 0.250 Ba
0.046 0.670 0.250 Ba
0.211 0.000 0.578 Cd
0.711 0.500 0.578 Cd
0.789 0.000 0.422 Cd
0.289 0.500 0.422 Cd
0.118 0.381 0.000 Pd
0.882 0.619 0.000 Pd
0.382 0.881 0.000 Pd
0.618 0.119 0.000 Pd
```



Record 4
A plane-wave DFT calculation with PBE was carried out for a relaxed structure of TlHgCl2.

Results
Formation energy from raw total energies, eV per formula unit: -2.224
Relative energy among the computed polymorphs, meV per atom: 72
Crystal system: tetragonal

Geometry as POSCAR:
```
TlHgCl2
1.0
6.376 0.000 0.000
0.000 6.376 0.000
3.188 3.188 7.824
Tl Hg Cl
2 2 4
Direct
0.000 0.000 0.000 Tl
0.750 0.250 0.500 Tl
0.500 0.500 0.000 Hg
0.250 0.750 0.500 Hg
0.576 0.125 0.250 Cl
0.174 0.625 0.250 Cl
0.375 0.424 0.750 Cl
0.875 0.826 0.750 Cl
```



Record 5
A plane-wave DFT calculation with PBE was carried out for a relaxed structure of K5In2O.

Results
Formation energy from raw total energies, eV per formula unit: -3.095
Crystal system: monoclinic

Geometry as POSCAR:
```
K5In2O
1.0
5.316 0.012 2.731
2.639 7.151 1.356
-0.612 0.006 7.718
K In O
5 2 1
Direct
0.789 0.000 0.353 K
0.141 0.648 0.000 K
0.789 0.353 0.000 K
0.141 0.000 0.648 K
0.464 0.000 0.000 K
0.717 0.500 0.500 In
0.217 0.500 0.500 In
0.965 0.000 0.000 O
```



Record 6
A plane-wave DFT calculation with PBE was carried out for a relaxed structure of ZnHg3I9.

Results
Formation energy from raw total energies, eV per formula unit: -3.588
Crystal system: monoclinic

Geometry as POSCAR:
```
ZnHg3I9
1.0
9.110 0.000 3.833
4.755 10.452 1.442
-0.444 -2.359 13.797
Zn Hg I
2 6 18
Direct
0.001 0.559 0.913 Zn
0.527 0.059 0.413 Zn
0.733 0.543 0.703 Hg
0.021 0.043 0.203 Hg
0.142 0.889 0.832 Hg
0.137 0.389 0.332 Hg
0.505 0.236 0.722 Hg
0.537 0.736 0.222 Hg
0.460 0.167 0.263 I
0.110 0.667 0.763 I
0.248 0.353 0.927 I
0.472 0.853 0.427 I
0.032 0.062 0.701 I
0.205 0.562 0.201 I
0.857 0.717 0.100 I
0.326 0.217 0.600 I
0.840 0.977 0.380 I
0.803 0.477 0.880 I
0.479 0.820 0.773 I
0.928 0.320 0.273 I
0.543 0.492 0.230 I
0.736 0.992 0.730 I
0.653 0.379 0.603 I
0.365 0.879 0.103 I
0.917 0.063 0.033 I
0.987 0.563 0.533 I
```



Record 7
A plane-wave DFT calculation with PBE was carried out for a relaxed structure of CaNi4Sn12.

Results
Energy relative to the elements, eV/f.u.: -3.24
Crystal system: cubic

Geometry as POSCAR:
```
CaNi4Sn12
1.0
-2.951 7.363 1.224
-1.238 -2.143 -7.635
-3.689 -5.204 4.871
Ca Ni Sn
1 4 12
Direct
0.000 0.000 0.000 Ca
0.000 0.500 0.000 Ni
0.500 0.000 0.000 Ni
0.500 0.500 0.500 Ni
0.000 0.000 0.500 Ni
0.833 0.335 0.168 Sn
0.335 0.502 0.167 Sn
0.832 0.167 0.665 Sn
0.335 0.168 0.833 Sn
0.168 0.833 0.335 Sn
0.665 0.498 0.833 Sn
0.502 0.167 0.335 Sn
0.498 0.833 0.665 Sn
0.665 0.832 0.167 Sn
0.833 0.665 0.498 Sn
0.167 0.335 0.502 Sn
0.167 0.665 0.832 Sn
```



Record 8
A plane-wave DFT calculation with PBE was carried out for a relaxed structure of Pr7Bi2Ir2.

Results
Energy relative to the elements, eV/f.u.: -6.36
Crystal system: orthorhombic

Geometry as POSCAR:
```
Pr7Bi2Ir2
1.0
-1.501 3.210 -2.028
-1.466 -3.821 -9.076
-9.099 -3.209 -2.458
Pr Bi Ir
7 2 2
Direct
0.816 0.088 0.281 Pr
0.850 0.403 0.896 Pr
0.500 0.024 0.976 Pr
0.628 0.476 0.267 Pr
0.372 0.733 0.524 Pr
0.184 0.719 0.912 Pr
0.150 0.104 0.597 Pr
0.000 0.765 0.235 Bi
0.500 0.353 0.647 Bi
0.739 0.855 0.666 Ir
0.261 0.334 0.145 Ir
```



Record 9
A plane-wave DFT calculation with PBE was carried out for a relaxed structure of SrPOF2.

Results
Formation energy from raw total energies, eV per formula unit: -5.694
Relative energy among the computed polymorphs, meV per atom: 718
Crystal system: tetragonal

Geometry as POSCAR:
```
SrPOF2
1.0
4.598 0.000 0.000
0.000 4.598 0.000
0.000 0.000 5.160
Sr F O P
1 2 1 1
Direct
0.000 0.000 0.000 Sr
0.000 0.500 0.000 F
0.500 0.000 0.000 F
0.000 0.000 0.500 O
0.500 0.500 0.500 P
```



Record 10
A plane-wave DFT calculation with PBE was carried out for a relaxed structure of KYNb3.

Results
Energy relative to the elements, eV/f.u.: 10.57
Relative energy among the computed polymorphs, meV per atom: 0
Crystal system: cubic

Geometry as POSCAR:
```
KYNb3
1.0
5.202 0.000 0.000
0.000 5.202 0.000
0.000 0.000 5.202
Y Nb K
1 3 1
Direct
0.000 0.000 0.000 Y
0.000 0.500 0.000 Nb
0.000 0.000 0.500 Nb
0.500 0.000 0.000 Nb
0.500 0.500 0.500 K
```



Record 11
A plane-wave DFT calculation with PBE was carried out for a relaxed structure of La2Se2S.

Results
Formation energy from raw total energies, eV per formula unit: -9.804
Relative energy among the computed polymorphs, meV per atom: 77
Crystal system: tetragonal

Geometry as POSCAR:
```
La2Se2S
1.0
8.012 0.000 0.000
0.000 8.012 0.000
0.000 0.000 4.173
S Se La
2 4 4
Direct
0.000 0.000 0.000 S
0.500 0.500 0.000 S
0.138 0.638 0.500 Se
0.638 0.862 0.500 Se
0.862 0.362 0.500 Se
0.362 0.138 0.500 Se
0.326 0.826 0.000 La
0.826 0.674 0.000 La
0.674 0.174 0.000 La
0.174 0.326 0.000 La
```



Record 12
A plane-wave DFT calculation with PBE was carried out for a relaxed structure of CdFePt6.

Results
Energy relative to the elements, eV/f.u.: -1.73
Crystal system: tetragonal

Geometry as POSCAR:
```
CdFePt6
1.0
-0.498 -1.344 3.716
-3.251 -1.990 -1.155
4.478 -6.335 -1.691
Cd Fe Pt
1 1 6
Direct
0.000 0.000 0.000 Cd
0.000 0.000 0.500 Fe
0.500 0.500 0.000 Pt
0.500 0.500 0.500 Pt
0.500 0.000 0.263 Pt
0.500 0.000 0.737 Pt
0.000 0.500 0.263 Pt
0.000 0.500 0.737 Pt
```



Record 13
A plane-wave DFT calculation with PBE was carried out for a relaxed structure of K2CdReO4.

Results
Formation energy from raw total energies, eV per formula unit: -10.883
Crystal system: tetragonal

Geometry as POSCAR:
```
K2CdReO4
1.0
-1.915 5.545 -2.368
-1.425 -4.539 -4.170
-2.907 -0.901 5.546
K Cd Re O
2 1 1 4
Direct
0.500 0.750 0.250 K
0.000 0.000 0.000 K
0.500 0.250 0.750 Cd
0.000 0.500 0.500 Re
0.717 0.529 0.460 O
0.931 0.188 0.471 O
0.069 0.540 0.257 O
0.283 0.743 0.812 O
```



Record 14
A plane-wave DFT calculation with PBE was carried out for a relaxed structure of Sc2Fe2Co5Ge.

Results
Energy relative to the elements, eV/f.u.: -1.39
Crystal system: tetragonal

Geometry as POSCAR:
```
Sc2Fe2Co5Ge
1.0
-2.561 2.034 1.411
-3.257 -6.936 4.085
5.080 1.647 6.848
Sc Fe Co Ge
4 4 10 2
Direct
0.000 0.678 0.178 Sc
0.000 0.322 0.822 Sc
0.000 0.178 0.322 Sc
0.000 0.822 0.678 Sc
0.000 0.120 0.620 Fe
0.000 0.880 0.380 Fe
0.000 0.620 0.880 Fe
0.000 0.380 0.120 Fe
0.500 0.205 0.061 Co
0.500 0.795 0.939 Co
0.500 0.061 0.795 Co
0.500 0.705 0.439 Co
0.500 0.939 0.205 Co
0.500 0.295 0.561 Co
0.500 0.561 0.705 Co
0.500 0.439 0.295 Co
0.500 0.500 0.000 Co
0.500 0.000 0.500 Co
0.000 0.000 0.000 Ge
0.000 0.500 0.500 Ge
```



Record 15
A plane-wave DFT calculation with PBE was carried out for a relaxed structure of NaBeV3.

Results
Energy relative to the elements, eV/f.u.: 5.48
Relative energy among the computed polymorphs, meV per atom: 0
Crystal system: cubic

Geometry as POSCAR:
```
NaBeV3
1.0
-2.204 -1.124 -3.496
3.663 -0.388 -2.184
0.257 -4.114 1.161
Na V Be
1 3 1
Direct
0.500 0.500 0.500 Na
0.000 0.500 0.000 V
0.000 0.000 0.500 V
0.500 0.000 0.000 V
0.000 0.000 0.000 Be
```



Record 16
A plane-wave DFT calculation with PBE was carried out for a relaxed structure of Pm3Te.

Results
Formation energy from raw total energies, eV per formula unit: -2.310
Relative energy among the computed polymorphs, meV per atom: 119
Crystal system: orthorhombic

Geometry as POSCAR:
```
Pm3Te
1.0
3.902 0.000 0.000
0.000 6.082 0.000
-1.951 -3.041 5.281
Te Pm
1 3
Direct
0.000 0.039 0.000 Te
0.279 0.616 0.559 Pm
0.500 0.455 0.000 Pm
0.721 0.057 0.441 Pm
```



Record 17
A plane-wave DFT calculation with PBE was carried out for a relaxed structure of HgOs2Pt.

Results
Energy relative to the elements, eV/f.u.: 1.24
Crystal system: trigonal

Geometry as POSCAR:
```
HgOs2Pt
1.0
-1.610 8.747 -3.983
-1.027 7.333 -6.335
-3.636 7.323 -5.303
Hg Os Pt
1 2 1
Direct
0.748 0.748 0.748 Hg
0.992 0.992 0.992 Os
0.254 0.254 0.254 Os
0.506 0.506 0.506 Pt
```



Record 18
A plane-wave DFT calculation with PBE was carried out for a relaxed structure of Mg7ZnHg4.

Results
Energy relative to the elements, eV/f.u.: -1.32
Crystal system: triclinic

Geometry as POSCAR:
```
Mg7ZnHg4
1.0
5.126 0.987 1.078
3.343 6.417 2.281
-0.391 -0.524 8.726
Mg Zn Hg
7 1 4
Direct
0.771 0.519 0.891 Mg
0.229 0.481 0.109 Mg
0.111 0.103 0.684 Mg
0.889 0.897 0.316 Mg
0.586 0.652 0.530 Mg
0.500 0.000 0.000 Mg
0.414 0.348 0.470 Mg
0.000 0.000 0.000 Zn
0.572 0.611 0.210 Hg
0.428 0.389 0.790 Hg
0.815 0.868 0.663 Hg
0.185 0.132 0.337 Hg
```



Record 19
A plane-wave DFT calculation with PBE was carried out for a relaxed structure of AcErBiTe.

Results
Formation energy from raw total energies, eV per formula unit: -4.153
Crystal system: trigonal

Geometry as POSCAR:
```
AcErBiTe
1.0
-3.925 -1.436 1.560
3.424 0.604 2.795
-0.864 8.450 -0.767
Ac Er Bi Te
1 1 1 1
Direct
0.129 0.962 0.107 Ac
0.478 0.137 0.630 Er
0.288 0.542 0.845 Bi
0.983 0.389 0.388 Te
```



Record 20
A plane-wave DFT calculation with PBE was carried out for a relaxed structure of Ac2SI.

Results
Formation energy from raw total energies, eV per formula unit: -5.707
Relative energy among the computed polymorphs, meV per atom: 8
Crystal system: trigonal

Geometry as POSCAR:
```
Ac2SI
1.0
-3.049 2.492 1.464
-4.007 -0.777 -0.994
-3.116 -4.506 7.209
Ac S I
2 1 1
Direct
0.069 0.069 0.794 Ac
0.266 0.266 0.203 Ac
0.666 0.666 0.002 S
0.500 0.500 0.501 I
```



| no. | total DFT energy (no corrections) (eV/atom) | calculated volume (Å³/cell) |
| --- | --- | --- |
| 1 | -3.912 | 76.7 |
| 2 | -4.670 | 396.9 |
| 3 | -2.781 | 692.0 |
| 4 | -2.146 | 318.1 |
| 5 | -2.377 | 305.1 |
| 6 | -1.517 | 1319.5 |
| 7 | -4.494 | 398.0 |
| 8 | -5.936 | 344.1 |
| 9 | -4.297 | 109.1 |
| 10 | -5.440 | 140.8 |
| 11 | -6.151 | 267.9 |
| 12 | -5.919 | 125.9 |
| 13 | -5.784 | 194.6 |
| 14 | -7.113 | 268.6 |
| 15 | -5.383 | 78.6 |
| 16 | -4.926 | 125.3 |
| 17 | -6.892 | 65.5 |
| 18 | -1.247 | 264.3 |
| 19 | -4.962 | 140.2 |
| 20 | -4.900 | 133.3 |